Entry 1:
Below is an optimized crystal structure of PW4C3, with properties calculated at the GGA-PBE level.

It has space group P6_3/mmc (No. 194), with a = 3.1060 Å, b = 3.1060 Å, c = 22.1428 Å, α = 90.00°, β = 90.00° and γ = 120.00°. The distinct sites, in fractional coordinates, are P at (0.3333, 0.6667, 0.2500), W at (0.0000, 0.0000, 0.1709), W at (0.3333, 0.6667, 0.0542), C at (0.0000, 0.0000, 0.0000) and C at (0.3333, 0.6667, 0.6149).

The final energy is -10.419 eV/atom. The magnetic moment is 0.00 μB/atom.


Entry 2:
Below is an optimized crystal structure of Sc2Nb4Tl3C3, with properties calculated at the GGA-PBE level.

It has space group C2/c (No. 15), with a = 9.857 Å, b = 5.698 Å, c = 14.930 Å, α = 90.00°, β = 102.75° and γ = 90.00°. The distinct sites, in fractional coordinates, are Sc at (0.050, 0.080, 0.412), Nb at (0.109, 0.408, 0.576), Nb at (0.229, 0.421, 0.924), Tl at (0.000, 0.432, 0.250), Tl at (0.175, 0.090, 0.752), C at (0.085, 0.256, 0.000) and C at (0.250, 0.250, 0.500).

The final energy is -7.736 eV/atom. The magnetic moment is 0.00 μB/atom.


Entry 3:
Below is an optimized crystal structure of HoInAu6, with properties calculated at the GGA-PBE level.

It has space group Pmm2 (No. 25), with a = 5.038 Å, b = 5.936 Å, c = 5.201 Å, α = 90.00°, β = 90.00° and γ = 90.00°. The distinct sites, in fractional coordinates, are Ho at (0.000, 0.000, 0.000), In at (0.500, 0.500, 0.318), Au at (0.000, 0.256, 0.500), Au at (0.000, 0.500, 0.999), Au at (0.500, 0.000, 0.324) and Au at (0.500, 0.250, 0.823).

The final energy is -3.765 eV/atom. The magnetic moment is 0.00 μB/atom.


Entry 4:
Below is an optimized crystal structure of LiMg2Cd, with properties calculated at the GGA-PBE level.

It has space group P6_3/mmc (No. 194), with a = 4.8390 Å, b = 4.8390 Å, c = 9.1034 Å, α = 90.00°, β = 90.00° and γ = 120.00°. The distinct sites, in fractional coordinates, are Li at (0.3333, 0.6667, 0.2500), Mg at (0.3333, 0.6667, 0.5857) and Cd at (0.0000, 0.0000, 0.0000).

The final energy is -1.494 eV/atom.


Entry 5:
Below is an optimized crystal structure of Y2Ho2CI2Cl3, with properties calculated at the GGA-PBE level.

It has space group C2/m (No. 12), with a = 18.222 Å, b = 3.811 Å, c = 7.902 Å, α = 90.00°, β = 100.17° and γ = 90.00°. The distinct sites, in fractional coordinates, are Y at (0.133, 0.000, 0.056), Ho at (0.003, 0.500, 0.794), C at (0.000, 0.000, 0.000), I at (0.166, 0.500, 0.355), Cl at (0.000, 0.000, 0.500) and Cl at (0.160, 0.500, 0.826).

The final energy is -5.417 eV/atom. The magnetic moment is 0.02 μB/atom.


Entry 6:
Below is an optimized crystal structure of KAcPm, with properties calculated at the GGA-PBE level.

It has space group F-43m (No. 216), with a = 8.671 Å, b = 8.671 Å, c = 8.671 Å, α = 90.00°, β = 90.00° and γ = 90.00°. The distinct sites, in fractional coordinates, are K at (0.000, 0.000, 0.000), Ac at (0.000, 0.000, 0.500) and Pm at (0.250, 0.250, 0.750).

The final energy is -2.318 eV/atom. The magnetic moment is 0.39 μB/atom.


Entry 7:
Below is an optimized crystal structure of PrNi4P2, with properties calculated at the GGA-PBE level.

It has space group P4_2/mnm (No. 136), with a = 7.243 Å, b = 7.243 Å, c = 3.647 Å, α = 90.00°, β = 90.00° and γ = 90.00°. The distinct sites, in fractional coordinates, are Pr at (0.000, 0.000, 0.000), Ni at (0.088, 0.342, 0.500) and P at (0.221, 0.779, 0.500).

The final energy is -6.153 eV/atom. The magnetic moment is 0.00 μB/atom.


Entry 8:
Below is an optimized crystal structure of NaAlReTc, with properties calculated at the GGA-PBE level.

It has space group F-43m (No. 216), with a = 6.222 Å, b = 6.222 Å, c = 6.222 Å, α = 90.00°, β = 90.00° and γ = 90.00°. The distinct sites, in fractional coordinates, are Na at (0.000, 0.000, 0.000), Al at (0.250, 0.250, 0.750), Re at (0.250, 0.250, 0.250) and Tc at (0.000, 0.000, 0.500).

The final energy is -6.605 eV/atom. The magnetic moment is 0.00 μB/atom.


Entry 9:
Below is an optimized crystal structure of BaCoB, with properties calculated at the GGA-PBE level.

It has space group F-43m (No. 216), with a = 6.384 Å, b = 6.384 Å, c = 6.384 Å, α = 90.00°, β = 90.00° and γ = 90.00°. The distinct sites, in fractional coordinates, are Ba at (0.000, 0.000, 0.000), Co at (0.000, 0.000, 0.500) and B at (0.250, 0.250, 0.250).

The final energy is -3.965 eV/atom. The magnetic moment is 0.37 μB/atom.


Entry 10:
Below is an optimized crystal structure of Sr2MoAs, with properties calculated at the GGA-PBE level.

It has space group F-43m (No. 216), with a = 7.355 Å, b = 7.355 Å, c = 7.355 Å, α = 90.00°, β = 90.00° and γ = 90.00°. The distinct sites, in fractional coordinates, are Sr at (0.000, 0.000, 0.000), Sr at (0.250, 0.250, 0.250), Mo at (0.250, 0.250, 0.750) and As at (0.000, 0.000, 0.500).

The final energy is -4.203 eV/atom. The magnetic moment is 0.73 μB/atom.


Entry 11:
Below is an optimized crystal structure of ThMoIr, with properties calculated at the GGA-PBE level.

It has space group F-43m (No. 216), with a = 6.423 Å, b = 6.423 Å, c = 6.423 Å, α = 90.00°, β = 90.00° and γ = 90.00°. The distinct sites, in fractional coordinates, are Th at (0.000, 0.000, 0.000), Mo at (0.250, 0.250, 0.750) and Ir at (0.000, 0.000, 0.500).

The final energy is -8.776 eV/atom. The magnetic moment is 0.00 μB/atom.


Entry 12:
Below is an optimized crystal structure of GdHoSi2BMo2, with properties calculated at the GGA-PBE level.

It has space group Cm (No. 8), with a = 11.059 Å, b = 3.957 Å, c = 7.089 Å, α = 90.00°, β = 124.61° and γ = 90.00°. The distinct sites, in fractional coordinates, are Gd at (0.000, 0.000, 0.000), Ho at (0.152, 0.000, 0.606), Si at (0.207, 0.500, 0.964), Si at (0.446, 0.000, 0.640), B at (0.078, 0.500, 0.307), Mo at (0.293, 0.500, 0.390) and Mo at (0.361, 0.000, 0.217).

The final energy is -7.438 eV/atom. The magnetic moment is 0.00 μB/atom.